A plane-wave DFT calculation with GGA-PBEsol was carried out for a relaxed structure of SrMn3Ni.

a b c (Å): 4.6254 4.6254 4.6254
angles (deg): 90.00 90.00 90.00
With the nearest neighbours (Å) after each atom.
Positions (direct):
Mn (0.0000, 0.5000, 0.0000)  2 Ni 2.31
Mn (0.0000, 0.0000, 0.5000)  2 Ni 2.31
Mn (0.5000, 0.0000, 0.0000)  2 Ni 2.31
Ni (0.0000, 0.0000, 0.0000)  6 Mn 2.31
Sr (0.5000, 0.5000, 0.5000)  12 Mn 3.27

Output
Total energy ... -6.722 eV/atom

A plane-wave DFT calculation with GGA-PBEsol was carried out for a relaxed structure of K2NiPt.

a b c (Å): 2.8674 2.8674 9.9234
angles (deg): 90.00 90.00 90.00
With the nearest neighbours (Å) after each atom.
Positions (direct):
Pt (0.5000, 0.5000, 0.5000)  4 Pt 2.87, 8 K 3.20
Ni (0.5000, 0.5000, 0.0000)  4 Ni 2.87, 8 K 3.21
K (0.0000, 0.0000, 0.7492)  4 K 2.87, 4 Pt 3.20, 4 Ni 3.21
K (0.0000, 0.0000, 0.2508)  4 K 2.87, 4 Pt 3.20, 4 Ni 3.21

Output
Offset from the most stable computed form ... 34 meV per atom

A plane-wave DFT calculation with GGA-PBEsol was carried out for a relaxed structure of Ru2BrCl.

a b c (Å): 2.8658 5.1124 5.1124
angles (deg): 62.99 73.72 73.72
With the nearest neighbours (Å) after each atom.
Positions (direct):
Ru (0.7431, 0.2569, 0.2569)  2 Cl 2.46, 2 Br 2.55
Ru (0.2569, 0.7431, 0.7431)  2 Cl 2.46, 2 Br 2.55
Br (0.5000, 0.0000, 0.0000)  4 Ru 2.55
Cl (0.0000, 0.5000, 0.5000)  4 Ru 2.46

Output
Offset from the most stable computed form ... 0 meV per atom
E_form (uncorrected) ... 0.8597 eV/atom

A plane-wave DFT calculation with GGA-PBEsol was carried out for a relaxed structure of NaLiRuN2.

a b c (Å): 3.8352 3.8352 4.4630
angles (deg): 90.00 90.00 90.00
With the nearest neighbours (Å) after each atom.
Positions (direct):
Ru (0.0000, 0.0000, 0.0000)  4 N 1.92
N (0.5000, 0.0000, 0.0000)  2 Ru 1.92
N (0.0000, 0.5000, 0.0000)  2 Ru 1.92
Li (0.0000, 0.0000, 0.5000)  2 Ru 2.23
Na (0.5000, 0.5000, 0.5000)  4 Li 2.71, 8 N 2.94

Output
E_form (uncorrected) ... 0.3101 eV/atom

A plane-wave DFT calculation with GGA-PBEsol was carried out for a relaxed structure of ReS2.

a b c (Å): 6.3402 6.4412 6.4839
angles (deg): 91.87 104.96 118.77
With the nearest neighbours (Å) after each atom.
Positions (direct):
S (0.7535, 0.1355, 0.6912)  3 Re 2.43-2.45
S (0.7228, 0.3413, 0.2461)  3 Re 2.32-2.41
S (0.7753, 0.8907, 0.2819)  3 Re 2.37-2.50
S (0.7486, 0.6166, 0.7829)  3 Re 2.34-2.35
S (0.2465, 0.8645, 0.3088)  3 Re 2.43-2.45
S (0.2772, 0.6587, 0.7539)  3 Re 2.32-2.41
S (0.2514, 0.3834, 0.2171)  3 Re 2.34-2.35
S (0.2247, 0.1093, 0.7181)  3 Re 2.37-2.50
Re (0.0584, 0.3111, 0.4917)  6 S 2.32-2.50
Re (0.9416, 0.6889, 0.5083)  6 S 2.32-2.50
Re (0.5131, 0.7149, 0.5025)  6 S 2.34-2.45
Re (0.4869, 0.2851, 0.4975)  6 S 2.34-2.45

Output
E_form (uncorrected) ... -0.6293 eV/atom

A plane-wave DFT calculation with GGA-PBEsol was carried out for a relaxed structure of Co2OsRh.

a b c (Å): 2.6196 2.6196 8.4118
angles (deg): 81.04 81.04 60.00
With the nearest neighbours (Å) after each atom.
Positions (direct):
Co (0.7469, 0.7469, 0.7594)  9 Co 2.43-2.62, 3 Os 2.56
Co (0.0037, 0.0037, 0.9888)  9 Co 2.43-2.62, 3 Rh 2.58
Os (0.4967, 0.4967, 0.5098)  3 Co 2.56, 6 Os 2.62, 3 Rh 2.68
Rh (0.2527, 0.2527, 0.2420)  3 Co 2.58, 6 Rh 2.62, 3 Os 2.68

Output
Total energy ... -8.811 eV/atom

A plane-wave DFT calculation with GGA-PBEsol was carried out for a relaxed structure of Ca4LaPt.

a b c (Å): 6.4373 6.4373 6.4373
angles (deg): 60.00 60.00 60.00
With the nearest neighbours (Å) after each atom.
Positions (direct):
Ca (0.3743, 0.3743, 0.8772)  6 Ca 3.20-3.24
Ca (0.8772, 0.3743, 0.3743)  6 Ca 3.20-3.24
Ca (0.3743, 0.8772, 0.3743)  6 Ca 3.20-3.24
Ca (0.3743, 0.3743, 0.3743)  6 Ca 3.20-3.24
La (0.7500, 0.7500, 0.7500)  12 Ca 3.78, 4 Pt 3.94
Pt (0.0000, 0.0000, 0.0000)  12 Ca 3.77, 4 La 3.94

Output
Total energy ... -2.993 eV/atom

A plane-wave DFT calculation with GGA-PBEsol was carried out for a relaxed structure of CeBi2SeO4.

a b c (Å): 3.8518 3.8518 8.8244
angles (deg): 90.00 90.00 90.00
With the nearest neighbours (Å) after each atom.
Positions (direct):
O (0.5000, 0.0000, 0.8470)  2 Bi 2.30, 2 Ce 2.35
O (0.0000, 0.5000, 0.1530)  2 Bi 2.30, 2 Ce 2.35
O (0.5000, 0.0000, 0.1530)  2 Bi 2.30, 2 Ce 2.35
O (0.0000, 0.5000, 0.8470)  2 Bi 2.30, 2 Ce 2.35
Se (0.0000, 0.0000, 0.5000)  8 Bi 3.26, 8 O 3.62
Bi (0.5000, 0.5000, 0.7036)  4 O 2.30
Bi (0.5000, 0.5000, 0.2964)  4 O 2.30
Ce (0.0000, 0.0000, 0.0000)  8 O 2.35

Output
E_form (uncorrected) ... -1.9271 eV/atom

A plane-wave DFT calculation with GGA-PBEsol was carried out for a relaxed structure of InIrF2.

a b c (Å): 2.8055 2.8055 8.1879
angles (deg): 80.14 80.14 60.00
With the nearest neighbours (Å) after each atom.
Positions (direct):
Ir (0.0000, 0.0000, 0.0000)  2 F 1.99
F (0.0828, 0.0828, 0.7516)  1 Ir 1.99
F (0.9172, 0.9172, 0.2484)  1 Ir 1.99
In (0.5000, 0.5000, 0.5000)  6 F 2.59, 6 In 2.81

Output
E_form (uncorrected) ... -0.8874 eV/atom

A plane-wave DFT calculation with GGA-PBEsol was carried out for a relaxed structure of TcRu3Au.

a b c (Å): 4.6917 4.6917 4.6917
angles (deg): 90.00 90.00 90.00
With the nearest neighbours (Å) after each atom.
Positions (direct):
Tc (0.5000, 0.5000, 0.5000)  12 Ru 3.32
Ru (0.0000, 0.0000, 0.5000)  2 Au 2.35
Ru (0.0000, 0.5000, 0.0000)  2 Au 2.35
Ru (0.5000, 0.0000, 0.0000)  2 Au 2.35
Au (0.0000, 0.0000, 0.0000)  6 Ru 2.35

Output
Total energy ... -6.280 eV/atom

A plane-wave DFT calculation with GGA-PBEsol was carried out for a relaxed structure of BePt2.

a b c (Å): 2.7177 2.7177 6.0653
angles (deg): 90.00 90.00 120.00
With the nearest neighbours (Å) after each atom.
Positions (direct):
Pt (0.3333, 0.6667, 0.2924)  3 Be 2.37
Pt (0.6667, 0.3333, 0.7076)  3 Be 2.37
Be (0.0000, 0.0000, 0.0000)  6 Pt 2.37

Output
Total energy ... -6.468 eV/atom

A plane-wave DFT calculation with GGA-PBEsol was carried out for a relaxed structure of Al2TcPd.

a b c (Å): 4.2583 4.2583 4.2583
angles (deg): 60.00 60.00 60.00
With the nearest neighbours (Å) after each atom.
Positions (direct):
Pd (0.5000, 0.5000, 0.5000)  8 Al 2.61
Al (0.7500, 0.7500, 0.7500)  4 Tc 2.61, 4 Pd 2.61
Al (0.2500, 0.2500, 0.2500)  4 Pd 2.61, 4 Tc 2.61
Tc (0.0000, 0.0000, 0.0000)  8 Al 2.61

Output
Total energy ... -6.987 eV/atom

Number 1: calculated volume 99 Å³/f.u.. Number 2: calculated volume 82 Å³/f.u.. Number 3: calculated volume 63 Å³/f.u.. Number 4: calculated volume 66 Å³/f.u.. Number 5: calculated volume 55 Å³/f.u.. Number 6: calculated volume 49 Å³/f.u.. Number 7: calculated volume 189 Å³/f.u.. Number 8: calculated volume 131 Å³/f.u.. Number 9: calculated volume 55 Å³/f.u.. Number 10: calculated volume 103 Å³/f.u.. Number 11: calculated volume 39 Å³/f.u.. Number 12: calculated volume 55 Å³/f.u..